1.
Density functional theory data (GGA-PBEsol) for a relaxed structure of K3BIr.

Unit cell a=5.940 b=5.940 c=5.940 alpha=90.00 beta=90.00 gamma=90.00
Last column: magnetic moment on the atom in μB.
Sites, in units of the cell vectors:
K 0.000 0.000 0.500  0.02
K 0.000 0.500 0.000  0.02
K 0.500 0.000 0.000  0.02
B 0.500 0.500 0.500  0.51
Ir 0.000 0.000 0.000  0.80

Values from the calculation:
Calculated density: 2.538 Mg/m³
ΔE_f: 1740 meV per atom
SG: Pm-3m, No. 221

---

2.
Density functional theory data (GGA-PBEsol) for a relaxed structure of MgReO3.

Unit cell a=3.884 b=3.884 c=3.884 alpha=90.00 beta=90.00 gamma=90.00
Sites, in units of the cell vectors:
O 0.500 0.000 0.000
O 0.000 0.000 0.500
O 0.000 0.500 0.000
Mg 0.500 0.500 0.500
Re 0.000 0.000 0.000

Values from the calculation:
Calculated density: 7.324 Mg/m³
Formation energy without anion corrections: -653.4 kJ/mol of formula units
SG: Pm-3m, No. 221

---

3.
Density functional theory data (GGA-PBEsol) for a relaxed structure of Na5SnP3.

Unit cell a=7.379 b=8.277 c=13.236 alpha=89.52 beta=90.00 gamma=90.00
Sites, in units of the cell vectors:
Na 0.645 0.928 0.758
Na 0.355 0.072 0.242
Na 0.145 0.572 0.742
Na 0.162 0.578 0.418
Na 0.020 0.166 0.089
Na 0.855 0.428 0.258
Na 0.995 0.831 0.260
Na 0.005 0.169 0.740
Na 0.495 0.669 0.240
Na 0.662 0.922 0.082
Na 0.520 0.334 0.411
Na 0.538 0.322 0.088
Na 0.980 0.834 0.911
Na 0.480 0.666 0.589
Na 0.338 0.078 0.918
Na 0.962 0.822 0.588
Na 0.505 0.331 0.760
Na 0.462 0.678 0.912
Na 0.038 0.178 0.412
Na 0.838 0.422 0.582
P 0.296 0.905 0.429
P 0.704 0.095 0.571
P 0.256 0.902 0.737
P 0.233 0.356 0.583
P 0.244 0.402 0.237
P 0.733 0.144 0.917
P 0.744 0.098 0.263
P 0.767 0.644 0.417
P 0.796 0.595 0.071
P 0.756 0.598 0.763
P 0.204 0.405 0.929
P 0.267 0.856 0.083
Sn 0.647 0.928 0.411
Sn 0.353 0.072 0.589
Sn 0.147 0.572 0.089
Sn 0.853 0.428 0.911

Values from the calculation:
Calculated density: 2.683 Mg/m³
ΔE_f: -355 meV per atom
SG: P2_1/c, No. 14

---

4.
Density functional theory data (GGA-PBEsol) for a relaxed structure of AsIrCl2.

Unit cell a=2.896 b=4.875 c=4.875 alpha=106.53 beta=90.00 gamma=90.00
Sites, in units of the cell vectors:
Cl 0.000 0.500 0.000
Cl 0.000 0.000 0.500
As 0.500 0.500 0.500
Ir 0.500 0.000 0.000

Values from the calculation:
Calculated density: 8.506 Mg/m³
Formation energy without anion corrections: 360.7 kJ/mol of formula units
Energy above the most stable polymorph in this dataset: 1383 meV per atom
SG: Cmmm, No. 65

---

5.
Density functional theory data (GGA-PBEsol) for a relaxed structure of Ag2BSb.

Unit cell a=4.676 b=4.676 c=7.826 alpha=107.38 beta=107.38 gamma=90.00
Sites, in units of the cell vectors:
Ag 0.625 0.513 0.750
Ag 0.487 0.875 0.250
Ag 0.125 0.237 0.750
Ag 0.763 0.375 0.250
Sb 0.000 0.000 0.000
Sb 0.250 0.750 0.500
B 0.750 0.250 0.500
B 0.500 0.500 0.000

Values from the calculation:
Calculated density: 7.460 Mg/m³
Formation energy without anion corrections: 297.5 kJ/mol of formula units
SG: I-42d, No. 122

---

6.
Density functional theory data (GGA-PBEsol) for a relaxed structure of LiSe2Cl.

Unit cell a=3.628 b=3.619 c=7.432 alpha=90.00 beta=90.00 gamma=90.07
Sites, in units of the cell vectors:
Se 0.750 0.750 0.000
Se 0.250 0.250 0.000
Cl 0.000 0.500 0.500
Li 0.500 0.000 0.500

Values from the calculation:
Calculated density: 3.409 Mg/m³
Formation energy without anion corrections: -276.6 kJ/mol of formula units
Energy above the most stable polymorph in this dataset: 38 meV per atom
SG: Cmmm, No. 65

---

7.
Density functional theory data (GGA-PBEsol) for a relaxed structure of Ca3Mg.

Unit cell a=3.763 b=3.763 c=11.864 alpha=90.00 beta=90.00 gamma=120.00
Sites, in units of the cell vectors:
Mg 0.000 0.000 0.500
Ca 0.333 0.667 0.729
Ca 0.333 0.667 0.271
Ca 0.000 0.000 0.000

Values from the calculation:
Calculated density: 1.650 Mg/m³
ΔE_f: 35 meV per atom
SG: P-6m2, No. 187

---

8.
Density functional theory data (GGA-PBEsol) for a relaxed structure of BaSr2Eu.

Unit cell a=6.564 b=6.564 c=6.564 alpha=60.00 beta=60.00 gamma=60.00
Last column: magnetic moment on the atom in μB.
Sites, in units of the cell vectors:
Eu 0.000 0.000 0.000  6.94
Ba 0.500 0.500 0.500  0.03
Sr 0.750 0.750 0.750  0.02
Sr 0.250 0.250 0.250  0.02

Values from the calculation:
Calculated density: 3.858 Mg/m³
ΔE_f: 50 meV per atom
SG: Fm-3m, No. 225